1.
# BeSeSN2

Crystalline BeSeSN2 at its relaxed geometry (PBE-GGA, Alexandria).

Results
SG	P4/mmm, No. 123
uncorrected energy	-20.1	eV for the cell shown
energy above the lowest structure with this stoichiometry	395	meV per atom
calculated density	2.84	g/cm3

Unit cell a=3.5547 b=3.5547 c=6.8550 alpha=90.00 beta=90.00 gamma=90.00
Element x y z (fractional)
S  0.0000  0.0000  0.5000
Be  0.5000  0.5000  0.5000
N  0.5000  0.0000  0.0000
Se  0.0000  0.0000  0.0000
N  0.0000  0.5000  0.0000

---

2.
# Li3AcHg4

Crystalline Li3AcHg4 at its relaxed geometry (PBE-GGA, Alexandria).

Results
SG	R-3m, No. 166
uncorrected energy	-14.1	eV for the cell shown
formation energy	-0.385	eV/atom
calculated density	9.50	g/cm3

Unit cell a=4.7479 b=4.7479 c=9.7940 alpha=75.97 beta=75.97 gamma=60.00
Element x y z (fractional)
Hg  0.5990  0.5990  0.2031
Li  0.5000  0.5000  0.5000
Hg  0.1302  0.1302  0.6094
Hg  0.4010  0.4010  0.7969
Li  0.2317  0.2317  0.3049
Ac  0.0000  0.0000  0.0000
Li  0.7683  0.7683  0.6951
Hg  0.8698  0.8698  0.3906

---

3.
# Zn3Cu2Ni

Crystalline Zn3Cu2Ni at its relaxed geometry (PBE-GGA, Alexandria).

Results
SG	P4/mmm, No. 123
uncorrected energy	-18.6	eV for the cell shown
formation energy	-0.131	eV/atom
energy above the lowest structure with this stoichiometry	4	meV per atom
calculated density	8.29	g/cm3

Unit cell a=2.7635 b=2.7635 c=10.0178 alpha=90.00 beta=90.00 gamma=90.00
Element x y z (fractional)
Zn  0.0000  0.0000  0.6583
Cu  0.5000  0.5000  0.1707
Ni  0.5000  0.5000  0.5000
Zn  0.0000  0.0000  0.3417
Cu  0.5000  0.5000  0.8293
Zn  0.0000  0.0000  0.0000

---

4.
# Pm3ZnGe

Crystalline Pm3ZnGe at its relaxed geometry (PBE-GGA, Alexandria).

Results
SG	P-1, No. 2
uncorrected energy	-44.4	eV for the cell shown
formation energy	-0.410	eV/atom
calculated density	6.96	g/cm3

Unit cell a=4.2378 b=7.5064 c=8.9035 alpha=90.65 beta=89.13 gamma=105.16
Element x y z (fractional)
Pm  0.4060  0.8846  0.6155
Pm  0.6380  0.2695  0.8060
Zn  0.8058  0.6739  0.7808
Pm  0.7812  0.5958  0.3875
Ge  0.4152  0.8653  0.2758
Zn  0.2383  0.4803  0.6409
Pm  0.2626  0.5581  0.0341
Ge  0.6287  0.2888  0.1457
Pm  0.0628  0.1727  0.3869
Pm  0.9811  0.9813  0.0347

---

5.
# Ca4ScCl

Crystalline Ca4ScCl at its relaxed geometry (PBE-GGA, Alexandria).

Results
SG	F-43m, No. 216
uncorrected energy	-14.7	eV for the cell shown
calculated density	1.67	g/cm3

Unit cell a=6.9651 b=6.9651 c=6.9651 alpha=60.00 beta=60.00 gamma=60.00
Last column: magnetic moment on the atom in μB.
Element x y z (fractional)
Ca  0.3732  0.3732  0.3732  0.01
Ca  0.3732  0.8804  0.3732  0.01
Cl  0.7500  0.7500  0.7500  0.00
Ca  0.3732  0.3732  0.8804  0.01
Ca  0.8804  0.3732  0.3732  0.01
Sc  0.0000  0.0000  0.0000  0.48

---

6.
# GaBi2Pb8

Crystalline GaBi2Pb8 at its relaxed geometry (PBE-GGA, Alexandria).

Results
SG	C2/m, No. 12
uncorrected energy	-39.3	eV for the cell shown
formation energy	0.105	eV/atom
energy above the lowest structure with this stoichiometry	23	meV per atom
calculated density	9.94	g/cm3

Unit cell a=5.7041 b=8.2977 c=8.9700 alpha=112.75 beta=101.98 gamma=103.80
Element x y z (fractional)
Pb  0.0163  0.9000  0.2138
Pb  0.3164  0.6324  0.0000
Pb  0.6949  0.1949  0.3898
Pb  0.6836  0.3676  0.0000
Ga  0.5000  0.0000  0.0000
Bi  0.3050  0.3050  0.6100
Bi  0.6950  0.6950  0.3900
Pb  0.3051  0.8051  0.6102
Pb  0.1974  0.3138  0.2138
Pb  0.8026  0.6862  0.7862
Pb  0.9837  0.1000  0.7862

---

7.
# TcTeOs2

Crystalline TcTeOs2 at its relaxed geometry (PBE-GGA, Alexandria).

Results
SG	R3m, No. 160
uncorrected energy	-33.3	eV for the cell shown
energy above the lowest structure with this stoichiometry	84	meV per atom
calculated density	15.52	g/cm3

Unit cell a=8.8334 b=8.8334 c=8.8334 alpha=19.16 beta=19.16 gamma=19.16
Element x y z (fractional)
Os  0.9975  0.9975  0.9975
Tc  0.5022  0.5022  0.5022
Te  0.7503  0.7503  0.7503
Os  0.2500  0.2500  0.2500

---

8.
# Ag3GePd6

Crystalline Ag3GePd6 at its relaxed geometry (PBE-GGA, Alexandria).

Results
SG	P2_1/m, No. 11
uncorrected energy	-92.4	eV for the cell shown
formation energy	-0.186	eV/atom
calculated density	10.67	g/cm3

Unit cell a=4.0827 b=8.7298 c=9.0742 alpha=95.30 beta=90.00 gamma=90.00
Element x y z (fractional)
Pd  0.7500  0.5460  0.9037
Ag  0.2500  0.3354  0.7875
Pd  0.7500  0.8384  0.8175
Pd  0.2500  0.2273  0.4851
Pd  0.7500  0.7727  0.5149
Ag  0.7500  0.2461  0.9832
Ag  0.2500  0.5583  0.4034
Pd  0.2500  0.8972  0.3425
Ag  0.2500  0.7539  0.0168
Pd  0.7500  0.9586  0.1091
Ge  0.7500  0.0859  0.3646
Ge  0.2500  0.9141  0.6354
Pd  0.2500  0.0414  0.8909
Ag  0.7500  0.4417  0.5966
Pd  0.7500  0.1028  0.6575
Pd  0.2500  0.1616  0.1825
Pd  0.7500  0.3557  0.2919
Pd  0.2500  0.6443  0.7081
Ag  0.7500  0.6646  0.2125
Pd  0.2500  0.4540  0.0963

---

9.
# CdRu4Pt

Crystalline CdRu4Pt at its relaxed geometry (PBE-GGA, Alexandria).

Results
SG	F-43m, No. 216
uncorrected energy	-40.9	eV for the cell shown
formation energy	0.527	eV/atom
calculated density	12.32	g/cm3

Unit cell a=5.1382 b=5.1382 c=5.1382 alpha=60.00 beta=60.00 gamma=60.00
Last column: magnetic moment on the atom in μB.
Element x y z (fractional)
Pt  0.0000  0.0000  0.0000  0.09
Ru  0.3744  0.3744  0.3744  0.41
Ru  0.8769  0.3744  0.3744  0.41
Cd  0.7500  0.7500  0.7500  -0.01
Ru  0.3744  0.3744  0.8769  0.41
Ru  0.3744  0.8769  0.3744  0.41